## Ho6TlAg2 (PBE)

Data for an optimized crystal structure of Ho6TlAg2.

a b c (Å): 8.6584 8.6584 8.6584
angles (deg): 110.92 110.38 107.14
With the nearest neighbours (Å) after each atom.
Fractional positions:
1 Ho 0.0384 0.8226 0.2158  3 Ag 2.89-3.15
2 Ho 0.2425 0.5399 0.2974  2 Ag 2.90-3.19, 1 Tl 3.19
3 Ho 0.2425 0.9452 0.7026  2 Ag 2.90-3.19, 1 Tl 3.19
4 Ho 0.2750 0.3176 0.5926  3 Ag 3.17-3.20, 1 Tl 3.25
5 Ho 0.2750 0.6824 0.9573  3 Ag 3.17-3.20, 1 Tl 3.25
6 Ho 0.3932 0.1774 0.2158  3 Ag 2.89-3.15
7 Ho 0.6068 0.8226 0.7842  3 Ag 2.89-3.15
8 Ho 0.7250 0.3176 0.0427  3 Ag 3.17-3.20, 1 Tl 3.25
9 Ho 0.7250 0.6824 0.4074  3 Ag 3.17-3.20, 1 Tl 3.25
10 Ho 0.7575 0.0548 0.2974  2 Ag 2.90-3.19, 1 Tl 3.19
11 Ho 0.7575 0.4601 0.7026  2 Ag 2.90-3.19, 1 Tl 3.19
12 Ho 0.9616 0.1774 0.7842  3 Ag 2.89-3.15
13 Tl 0.0000 0.5000 0.5000  8 Ho 3.19-3.25, 2 Ag 3.48
14 Tl 0.5000 0.0000 0.5000  8 Ho 3.31-3.35
15 Ag 0.0000 0.1458 0.1458  1 Ag 2.86, 8 Ho 2.90-3.20
16 Ag 0.0000 0.8542 0.8542  1 Ag 2.86, 8 Ho 2.90-3.20
17 Ag 0.3673 0.3673 0.0000  1 Ag 2.73, 2 Ho 2.89
18 Ag 0.6327 0.6327 0.0000  1 Ag 2.73, 2 Ho 2.89

Summary:
**Energy**: -74.49 eV/cell
**Formation enthalpy at 0 K**: -18.3 kJ/mol of atoms
**D(E_F)**: 1.01 states/eV/atom